Below is a geometry-optimized ZnWF6 structure, with properties calculated at the PBE with a Hubbard U level.

Computed properties:
Raw total energy, eV/atom: -5.031

a = 5.6870 Å, b = 5.6870 Å, c = 5.6870 Å
α = 55.91°, β = 55.91°, γ = 55.91°
Last column: nearest neighbours and their distance in Å.
Element x y z (fractional)
F  0.1361  0.7565  0.3587  1 W 2.02, 1 Zn 2.06
F  0.3587  0.1361  0.7565  1 W 2.02, 1 Zn 2.06
F  0.2435  0.6413  0.8639  1 W 2.02, 1 Zn 2.06
F  0.7565  0.3587  0.1361  1 W 2.02, 1 Zn 2.06
W  0.0000  0.0000  0.0000  6 F 2.02
F  0.6413  0.8639  0.2435  1 W 2.02, 1 Zn 2.06
F  0.8639  0.2435  0.6413  1 W 2.02, 1 Zn 2.06
Zn  0.5000  0.5000  0.5000  6 F 2.06